VASP calculation (PBEsol) on crystalline Pm3Er at its relaxed geometry.

```
Pm3Er
1.0
5.7014 0.0000 0.0000
0.0000 7.1403 0.0000
0.0000 -3.5702 6.1837
Pm Er
6 2
Direct
0.7500 0.8329 0.1671 Pm
0.2500 0.1671 0.3342 Pm
0.2500 0.6658 0.8329 Pm
0.7500 0.3342 0.1671 Pm
0.2500 0.1671 0.8329 Pm
0.7500 0.8329 0.6658 Pm
0.7500 0.3333 0.6667 Er
0.2500 0.6667 0.3333 Er
```

Energy of formation from the pure elements = 0.025 eV per atom
Fermi-level density of states = 12.8 states/eV per cell
Excess energy over the best structure of this formula in the dataset = 17 meV per atom
Magnetic moment = 0.000 μB per atom
Space group = P6_3/mmc